DFT (PBE+U) results for MnPO2F after structural relaxation.

Properties
- Calculated volume: 59.3 Å³ per cell
- Symmetry: No. 123
- Uncorrected energy: -5.53 eV per atom

abc: 3.904 3.904 3.890
angles: 90.00 90.00 90.00
Element x y z (fractional)
P1 0.500 0.500 0.500
O1 0.500 0.000 0.000
O2 0.000 0.500 0.000
Mn1 0.000 0.000 0.000
F1 0.000 0.000 0.500